Density functional theory data (GGA-PBE) for crystalline BaIr2Pb at its relaxed geometry.

Properties
Calculated formation energy (eV/atom): 0.08
Polymorph energy (0 for the lowest one) (kJ per mole of atoms): 21.73
Density of states at the Fermi level (states/eV/f.u.): 2.88
SG: Pm, No. 6

a = 4.857 Å, b = 4.489 Å, c = 5.693 Å
α = 90.00°, β = 110.40°, γ = 90.00°
Atoms (fractional coordinates):
1 Ba 0.000 0.000 0.000
2 Ir 0.281 0.500 0.672
3 Ir 0.386 0.000 0.576
4 Pb 0.678 0.500 0.398